Entry 1:
## YTlOs (GGA-PBEsol)

Data for an optimized crystal structure of YTlOs.

The structure belongs to space group P-6m2 (No. 187); the cell edges are 4.6562, 4.6562 and 3.3915 Å and the angles 90.00°, 90.00° and 120.00°. The distinct sites, in fractional coordinates, are Y at (0.0000, 0.0000, 0.0000), Tl at (0.6667, 0.3333, 0.5000) and Os at (0.3333, 0.6667, 0.5000).

As for the total energy: -6.9962 eV/atom. Its crystal system is hexagonal.

Entry 2:
## Li2OsW (GGA-PBEsol)

Data for an optimized crystal structure of Li2OsW.

The structure belongs to space group C2/m (No. 12); the cell edges are 9.648, 2.631 and 4.593 Å and the angles 90.00°, 98.80° and 90.00°. The distinct sites, in fractional coordinates, are Li at (0.245, 0.000, 0.242), Os at (0.000, 0.500, 0.000) and W at (0.000, 0.000, 0.500).

Its energy relative to the lowest polymorph listed for this composition is 0.000 eV per atom. Its crystal system is monoclinic.

Entry 3:
## Cu2AgPtO (GGA-PBEsol)

Data for an optimized crystal structure of Cu2AgPtO.

The structure belongs to space group P4/mmm (No. 123); the cell edges are 4.666, 4.666 and 3.662 Å and the angles 90.00°, 90.00° and 90.00°. The distinct sites, in fractional coordinates, are Cu at (0.000, 0.500, 0.000), Ag at (0.000, 0.000, 0.000), Pt at (0.500, 0.500, 0.500) and O at (0.000, 0.000, 0.500).

Its crystal system is tetragonal. The calculation puts the uncorrected formation energy at 1.0528 eV/atom.

Entry 4:
## CrFeBN2 (GGA-PBEsol)

Data for an optimized crystal structure of CrFeBN2.

The structure belongs to space group P4/mmm (No. 123); the cell edges are 3.545, 3.545 and 3.868 Å and the angles 90.00°, 90.00° and 90.00°. The distinct sites, in fractional coordinates, are Cr at (0.000, 0.000, 0.000), Fe at (0.500, 0.500, 0.500), B at (0.500, 0.500, 0.000) and N at (0.000, 0.500, 0.500).

Its crystal system is tetragonal. The calculation puts the uncorrected formation energy at 1.0782 eV/atom.

Entry 5:
## NbCoSb2 (GGA-PBEsol)

Data for an optimized crystal structure of NbCoSb2.

The structure belongs to space group I-42d (No. 122); the cell edges are 7.060, 7.060 and 6.190 Å and the angles 90.00°, 90.00° and 90.00°. The distinct sites, in fractional coordinates, are Nb at (0.000, 0.000, 0.000), Co at (0.000, 0.000, 0.500) and Sb at (0.201, 0.250, 0.625).

Its crystal system is tetragonal. The calculation puts the uncorrected formation energy at 0.3425 eV/atom.

Entry 6:
## InAs2SeCl (GGA-PBEsol)

Data for an optimized crystal structure of InAs2SeCl.

The structure belongs to space group P4/mmm (No. 123); the cell edges are 4.943, 4.943 and 4.871 Å and the angles 90.00°, 90.00° and 90.00°. The distinct sites, in fractional coordinates, are In at (0.000, 0.000, 0.000), As at (0.000, 0.500, 0.500), Se at (0.500, 0.500, 0.000) and Cl at (0.500, 0.500, 0.500).

Its crystal system is tetragonal. The calculation puts the uncorrected formation energy at 0.7856 eV/atom.

Entry 7:
## KGaCo2Si (GGA-PBEsol)

Data for an optimized crystal structure of KGaCo2Si.

The structure belongs to space group P4/mmm (No. 123); the cell edges are 4.304, 4.304 and 5.158 Å and the angles 90.00°, 90.00° and 90.00°. The distinct sites, in fractional coordinates, are K at (0.000, 0.000, 0.000), Ga at (0.000, 0.000, 0.500), Co at (0.000, 0.500, 0.000) and Si at (0.500, 0.500, 0.500).

Its crystal system is tetragonal. The calculation puts the uncorrected formation energy at 2.2850 eV/atom.

Entry 8:
## AlReSb2 (GGA-PBEsol)

Data for an optimized crystal structure of AlReSb2.

The structure belongs to space group P4mm (No. 99); the cell edges are 3.236, 3.236 and 7.719 Å and the angles 90.00°, 90.00° and 90.00°. The distinct sites, in fractional coordinates, are Al at (0.000, 0.000, 0.000), Re at (0.500, 0.500, 0.843), Sb at (0.000, 0.000, 0.625) and Sb at (0.500, 0.500, 0.238).

Its crystal system is tetragonal. The calculation puts the uncorrected formation energy at 0.0916 eV/atom.

Entry 9:
## SrNiHg2 (GGA-PBEsol)

Data for an optimized crystal structure of SrNiHg2.

The structure belongs to space group R3m (No. 160, hexagonal axes); the cell edges are 4.5310, 4.5310 and 16.0721 Å and the angles 90.00°, 90.00° and 120.00°. The distinct sites, in fractional coordinates, are Sr at (0.0000, 0.0000, 0.0000), Ni at (0.0000, 0.0000, 0.8094), Hg at (0.0000, 0.0000, 0.2056) and Hg at (0.0000, 0.0000, 0.4572).

As for the total energy: -2.4953 eV/atom. Its crystal system is trigonal.

Entry 10:
## CoW2Cl (GGA-PBEsol)

Data for an optimized crystal structure of CoW2Cl.

The structure belongs to space group P2/m (No. 10); the cell edges are 4.381, 2.729 and 5.034 Å and the angles 90.00°, 111.35° and 90.00°. The distinct sites, in fractional coordinates, are Co at (0.000, 0.000, 0.000), W at (0.000, 0.000, 0.500), W at (0.500, 0.500, 0.000) and Cl at (0.500, 0.500, 0.500).

Its energy relative to the lowest polymorph listed for this composition is 0.344 eV per atom. Its crystal system is monoclinic. The calculation puts the uncorrected formation energy at 0.8255 eV/atom.

Entry 11:
## HfZrFe4 (GGA-PBEsol)

Data for an optimized crystal structure of HfZrFe4.

The structure belongs to space group F-43m (No. 216); the cell edges are 6.891, 6.891 and 6.891 Å and the angles 90.00°, 90.00° and 90.00°. The distinct sites, in fractional coordinates, are Hf at (0.000, 0.000, 0.000), Zr at (0.250, 0.250, 0.750) and Fe at (0.125, 0.125, 0.375).

As for the total energy: -9.5656 eV/atom. Its crystal system is cubic.

Entry 12:
## ZnSb2Se (GGA-PBEsol)

Data for an optimized crystal structure of ZnSb2Se.

The structure belongs to space group I-42d (No. 122); the cell edges are 6.019, 6.019 and 13.357 Å and the angles 90.00°, 90.00° and 90.00°. The distinct sites, in fractional coordinates, are Zn at (0.000, 0.000, 0.000), Sb at (0.221, 0.250, 0.125) and Se at (0.000, 0.000, 0.500).

Its energy relative to the lowest polymorph listed for this composition is 0.356 eV per atom. Its crystal system is tetragonal. The calculation puts the uncorrected formation energy at 0.2103 eV/atom.